Entry 1:
A plane-wave DFT calculation with PBE-GGA was carried out for crystalline BaGa at its relaxed geometry.

E, eV for the cell shown: -22.55
Formation enthalpy at 0 K, eV per atom: -0.344

CIF file:
```
data_BaGa
_chemical_formula_sum 'Ba4 Ga4'
_cell_length_a 4.1387
_cell_length_b 5.6436
_cell_length_c 11.1379
_cell_angle_alpha 90.00
_cell_angle_beta 90.00
_cell_angle_gamma 90.00
_space_group_name_H-M_alt 'I m m a'
_space_group_IT_number 74
_space_group_name_Hall '-I 2b 2'
loop_
_atom_site_label
_atom_site_type_symbol
_atom_site_fract_x
_atom_site_fract_y
_atom_site_fract_z
Ba1 Ba 0.0000 0.2500 0.0949
Ga1 Ga 0.0000 0.2500 0.6788
```

=====

Entry 2:
A plane-wave DFT calculation with PBE-GGA was carried out for crystalline Ba4CaMn at its relaxed geometry.

E, eV for the cell shown: -59.98
Formation enthalpy at 0 K, eV per atom: 0.644

CIF file:
```
data_Ba4CaMn
_chemical_formula_sum 'Ba16 Ca4 Mn4'
_cell_length_a 10.7527
_cell_length_b 10.7527
_cell_length_c 10.7527
_cell_angle_alpha 90.00
_cell_angle_beta 90.00
_cell_angle_gamma 90.00
_space_group_name_H-M_alt 'F -4 3 m'
_space_group_IT_number 216
_space_group_name_Hall 'F -4 2 3'
loop_
_atom_site_label
_atom_site_type_symbol
_atom_site_fract_x
_atom_site_fract_y
_atom_site_fract_z
Ba1 Ba 0.1243 0.1243 0.3757
Ca1 Ca 0.0000 0.0000 0.0000
Mn1 Mn 0.2500 0.2500 0.7500
```

=====

Entry 3:
A plane-wave DFT calculation with PBE-GGA was carried out for crystalline CuW2 at its relaxed geometry.

E, eV for the cell shown: -109.55
Formation enthalpy at 0 K, eV per atom: 0.872
Excess energy over the best structure of this formula in the dataset, meV per atom: 561.4

CIF file:
```
data_CuW2
_chemical_formula_sum 'Cu4 W8'
_cell_length_a 2.6242
_cell_length_b 4.1149
_cell_length_c 18.5010
_cell_angle_alpha 90.00
_cell_angle_beta 90.00
_cell_angle_gamma 90.00
_space_group_name_H-M_alt 'I m m a'
_space_group_IT_number 74
_space_group_name_Hall '-I 2b 2'
loop_
_atom_site_label
_atom_site_type_symbol
_atom_site_fract_x
_atom_site_fract_y
_atom_site_fract_z
Cu1 Cu 0.0000 0.2500 0.1162
W1 W 0.0000 0.2500 0.5418
W2 W 0.0000 0.2500 0.6849
```

=====

Entry 4:
A plane-wave DFT calculation with PBE-GGA was carried out for crystalline GeP3C at its relaxed geometry.

E, eV for the cell shown: -24.48
Formation enthalpy at 0 K, eV per atom: 1.118
Excess energy over the best structure of this formula in the dataset, meV per atom: 0.0

CIF file:
```
data_GeP3C
_chemical_formula_sum 'Ge1 P3 C1'
_cell_length_a 4.1142
_cell_length_b 4.1142
_cell_length_c 4.1142
_cell_angle_alpha 90.00
_cell_angle_beta 90.00
_cell_angle_gamma 90.00
_space_group_name_H-M_alt 'P m -3 m'
_space_group_IT_number 221
_space_group_name_Hall '-P 4 2 3'
loop_
_atom_site_label
_atom_site_type_symbol
_atom_site_fract_x
_atom_site_fract_y
_atom_site_fract_z
Ge1 Ge 0.0000 0.0000 0.0000
P1 P 0.0000 0.5000 0.5000
C1 C 0.5000 0.5000 0.5000
```

=====

Entry 5:
A plane-wave DFT calculation with PBE-GGA was carried out for crystalline TlSnO2F at its relaxed geometry.

E, eV for the cell shown: -25.32

CIF file:
```
data_TlSnO2F
_chemical_formula_sum 'Tl1 Sn1 O2 F1'
_cell_length_a 4.0851
_cell_length_b 4.0851
_cell_length_c 4.5089
_cell_angle_alpha 90.00
_cell_angle_beta 90.00
_cell_angle_gamma 90.00
_space_group_name_H-M_alt 'P 4/m m m'
_space_group_IT_number 123
_space_group_name_Hall '-P 4 2'
loop_
_atom_site_label
_atom_site_type_symbol
_atom_site_fract_x
_atom_site_fract_y
_atom_site_fract_z
Tl1 Tl 0.0000 0.0000 0.0000
Sn1 Sn 0.5000 0.5000 0.5000
O1 O 0.0000 0.5000 0.5000
F1 F 0.5000 0.5000 0.0000
```

=====

Entry 6:
A plane-wave DFT calculation with PBE-GGA was carried out for crystalline Cs3PuBi2S6 at its relaxed geometry.

E, eV for the cell shown: -123.02

CIF file:
```
data_Cs3PuBi2S6
_chemical_formula_sum 'Cs6 Pu2 Bi4 S12'
_cell_length_a 7.3296
_cell_length_b 12.6983
_cell_length_c 8.3942
_cell_angle_alpha 90.00
_cell_angle_beta 106.91
_cell_angle_gamma 90.00
_space_group_name_H-M_alt 'C 1 2/m 1'
_space_group_IT_number 12
_space_group_name_Hall '-C 2y'
loop_
_atom_site_label
_atom_site_type_symbol
_atom_site_fract_x
_atom_site_fract_y
_atom_site_fract_z
Cs1 Cs 0.0000 0.0000 0.0000
Cs2 Cs 0.0000 0.3307 0.0000
Pu1 Pu 0.0000 0.5000 0.5000
Bi1 Bi 0.0000 0.1664 0.5000
S1 S 0.2260 0.3358 0.6860
S2 S 0.2340 0.0000 0.6871
```

=====

Entry 7:
A plane-wave DFT calculation with PBE-GGA was carried out for crystalline Cu2MoW at its relaxed geometry.

E, eV for the cell shown: -61.20
Formation enthalpy at 0 K, eV per atom: 0.344
Excess energy over the best structure of this formula in the dataset, meV per atom: 157.4

CIF file:
```
data_Cu2MoW
_chemical_formula_sum 'Cu4 Mo2 W2'
_cell_length_a 3.7957
_cell_length_b 3.7957
_cell_length_c 7.8543
_cell_angle_alpha 90.00
_cell_angle_beta 90.00
_cell_angle_gamma 90.00
_space_group_name_H-M_alt 'I -4 m 2'
_space_group_IT_number 119
_space_group_name_Hall 'I -4 -2'
loop_
_atom_site_label
_atom_site_type_symbol
_atom_site_fract_x
_atom_site_fract_y
_atom_site_fract_z
Cu1 Cu 0.0000 0.0000 0.0000
Cu2 Cu 0.0000 0.5000 0.2500
Mo1 Mo 0.0000 0.5000 0.7500
W1 W 0.0000 0.0000 0.5000
```

=====

Entry 8:
A plane-wave DFT calculation with PBE-GGA was carried out for crystalline Zn2SiNi at its relaxed geometry.

E, eV for the cell shown: -27.89

CIF file:
```
data_Zn2SiNi
_chemical_formula_sum 'Zn4 Si2 Ni2'
_cell_length_a 8.3658
_cell_length_b 2.7785
_cell_length_c 4.6563
_cell_angle_alpha 90.00
_cell_angle_beta 100.50
_cell_angle_gamma 90.00
_space_group_name_H-M_alt 'C 1 m 1'
_space_group_IT_number 8
_space_group_name_Hall 'C -2y'
loop_
_atom_site_label
_atom_site_type_symbol
_atom_site_fract_x
_atom_site_fract_y
_atom_site_fract_z
Zn1 Zn 0.0000 0.0000 0.0000
Zn2 Zn 0.2403 0.0000 0.7541
Si1 Si 0.2615 0.5000 0.2936
Ni1 Ni 0.4914 0.0000 0.4823
```

=====

Entry 9:
A plane-wave DFT calculation with PBE-GGA was carried out for crystalline BeIr at its relaxed geometry.

E, eV for the cell shown: -27.13
Formation enthalpy at 0 K, eV per atom: -0.490

CIF file:
```
data_BeIr
_chemical_formula_sum 'Be2 Ir2'
_cell_length_a 2.8285
_cell_length_b 3.7323
_cell_length_c 4.3781
_cell_angle_alpha 90.00
_cell_angle_beta 106.71
_cell_angle_gamma 90.00
_space_group_name_H-M_alt 'P 1 21/m 1'
_space_group_IT_number 11
_space_group_name_Hall '-P 2yb'
loop_
_atom_site_label
_atom_site_type_symbol
_atom_site_fract_x
_atom_site_fract_y
_atom_site_fract_z
Be1 Be 0.0757 0.2500 0.1623
Ir1 Ir 0.3830 0.2500 0.7196
```

=====

Entry 10:
A plane-wave DFT calculation with PBE-GGA was carried out for crystalline Zr3TlH3 at its relaxed geometry.

E, eV for the cell shown: -237.67
Excess energy over the best structure of this formula in the dataset, meV per atom: 159.2

CIF file:
```
data_Zr3TlH3
_chemical_formula_sum 'Zr18 Tl6 H18'
_cell_length_a 5.6756
_cell_length_b 5.6756
_cell_length_c 23.3219
_cell_angle_alpha 90.00
_cell_angle_beta 90.00
_cell_angle_gamma 120.00
_space_group_name_H-M_alt 'R -3'
_space_group_IT_number 148
_space_group_name_Hall '-R 3'
loop_
_atom_site_label
_atom_site_type_symbol
_atom_site_fract_x
_atom_site_fract_y
_atom_site_fract_z
Zr1 Zr 0.0030 0.6635 0.0632
Tl1 Tl 0.0000 0.0000 0.1660
H1 H 0.0014 0.6708 0.9740
```

=====

Entry 11:
A plane-wave DFT calculation with PBE-GGA was carried out for crystalline Rb2PaTe6 at its relaxed geometry.

E, eV for the cell shown: -72.79
Excess energy over the best structure of this formula in the dataset, meV per atom: 0.0

CIF file:
```
data_Rb2PaTe6
_chemical_formula_sum 'Rb4 Pa2 Te12'
_cell_length_a 4.5536
_cell_length_b 18.0758
_cell_length_c 8.8186
_cell_angle_alpha 90.00
_cell_angle_beta 90.00
_cell_angle_gamma 90.00
_space_group_name_H-M_alt 'A m m 2'
_space_group_IT_number 38
_space_group_name_Hall 'A 2 -2'
loop_
_atom_site_label
_atom_site_type_symbol
_atom_site_fract_x
_atom_site_fract_y
_atom_site_fract_z
Rb1 Rb 0.0000 0.1792 0.0000
Pa1 Pa 0.5000 0.0000 0.5993
Te1 Te 0.0000 0.0000 0.8302
Te2 Te 0.0000 0.1000 0.4240
Te3 Te 0.5000 0.0000 0.2614
Te4 Te 0.5000 0.1704 0.6433
```

=====

Entry 12:
A plane-wave DFT calculation with PBE-GGA was carried out for crystalline LiOsBr2 at its relaxed geometry.

E, eV for the cell shown: -46.24
Excess energy over the best structure of this formula in the dataset, meV per atom: 183.8

CIF file:
```
data_LiOsBr2
_chemical_formula_sum 'Li3 Os3 Br6'
_cell_length_a 3.7531
_cell_length_b 3.7531
_cell_length_c 22.8944
_cell_angle_alpha 90.00
_cell_angle_beta 90.00
_cell_angle_gamma 120.00
_space_group_name_H-M_alt 'R 3 m'
_space_group_IT_number 160
_space_group_name_Hall 'R 3 -2"'
loop_
_atom_site_label
_atom_site_type_symbol
_atom_site_fract_x
_atom_site_fract_y
_atom_site_fract_z
Li1 Li 0.0000 0.0000 0.0000
Os1 Os 0.0000 0.0000 0.7739
Br1 Br 0.0000 0.0000 0.2886
Br2 Br 0.0000 0.0000 0.4846
```